Computed, not measured: a geometry-optimized K2GaBi2 structure at the GGA-PBEsol level of DFT.

- ΔH_f (0 K) (meV/atom) = -225
- total magnetic moment (μB per formula unit) = 0.000
- symmetry = P4/mbm (127)

abc: 5.703 7.767 7.767
angles: 90.00 90.00 90.00
Fractional coordinates of all 10 atoms:
Bi 0.000 0.856 0.644
Bi 0.000 0.144 0.356
Bi 0.000 0.644 0.144
Bi 0.000 0.356 0.856
K 0.500 0.665 0.835
K 0.500 0.335 0.165
K 0.500 0.165 0.665
K 0.500 0.835 0.335
Ga 0.000 0.500 0.500
Ga 0.000 0.000 0.000

---

Computed, not measured: a geometry-optimized K3GaBi structure at the GGA-PBEsol level of DFT.

- ΔH_f (0 K) (meV/atom) = 260
- total magnetic moment (μB per formula unit) = 0.954
- symmetry = Pm-3m (221)
- energy relative to the lowest polymorph listed for this composition (meV per atom) = 0

abc: 6.696 6.696 6.696
angles: 90.00 90.00 90.00
Each line ends with the local moment (μB).
Fractional coordinates of all 5 atoms:
K 0.000 0.000 0.500  0.00
K 0.500 0.000 0.000  0.00
K 0.000 0.500 0.000  0.00
Ga 0.500 0.500 0.500  0.21
Bi 0.000 0.000 0.000  -0.11

---

Computed, not measured: a geometry-optimized Li2GaBi structure at the GGA-PBEsol level of DFT.

- ΔH_f (0 K) (meV/atom) = -131
- total magnetic moment (μB per formula unit) = 0.000
- symmetry = I-42d (122)

abc: 4.218 4.218 10.025
angles: 102.14 102.14 90.00
Fractional coordinates of all 8 atoms:
Li 0.625 0.607 0.750
Li 0.125 0.143 0.750
Li 0.393 0.875 0.250
Li 0.857 0.375 0.250
Bi 0.000 0.000 0.000
Bi 0.250 0.750 0.500
Ga 0.500 0.500 0.000
Ga 0.750 0.250 0.500

---

Computed, not measured: a geometry-optimized LiGa3Bi structure at the GGA-PBEsol level of DFT.

- ΔH_f (0 K) (meV/atom) = 642
- total magnetic moment (μB per formula unit) = 0.000
- symmetry = Pm-3m (221)

abc: 5.612 5.612 5.612
angles: 90.00 90.00 90.00
Fractional coordinates of all 5 atoms:
Ga 0.000 0.000 0.500
Ga 0.500 0.000 0.000
Ga 0.000 0.500 0.000
Li 0.500 0.500 0.500
Bi 0.000 0.000 0.000

---

Computed, not measured: a geometry-optimized Li2GaBi2 structure at the GGA-PBEsol level of DFT.

- ΔH_f (0 K) (meV/atom) = -45
- total magnetic moment (μB per formula unit) = 0.000
- symmetry = I4/mmm (139)

abc: 4.586 4.586 6.871
angles: 109.49 109.49 90.00
Fractional coordinates of all 5 atoms:
Bi 0.383 0.383 0.766
Bi 0.617 0.617 0.234
Ga 0.000 0.000 0.000
Li 0.750 0.250 0.500
Li 0.250 0.750 0.500

---

Computed, not measured: a geometry-optimized MgGa2Bi structure at the GGA-PBEsol level of DFT.

- ΔH_f (0 K) (meV/atom) = 33
- total magnetic moment (μB per formula unit) = 0.000
- symmetry = Fm-3m (225)

abc: 5.045 5.045 5.045
angles: 60.00 60.00 60.00
Fractional coordinates of all 4 atoms:
Ga 0.250 0.250 0.250
Ga 0.750 0.750 0.750
Bi 0.500 0.500 0.500
Mg 0.000 0.000 0.000

---

Computed, not measured: a geometry-optimized Mg3GaBi structure at the GGA-PBEsol level of DFT.

- ΔH_f (0 K) (meV/atom) = 94
- total magnetic moment (μB per formula unit) = 0.000
- symmetry = Pm-3m (221)

abc: 5.029 5.029 5.029
angles: 90.00 90.00 90.00
Fractional coordinates of all 5 atoms:
Ga 0.000 0.000 0.000
Mg 0.000 0.500 0.000
Mg 0.000 0.000 0.500
Mg 0.500 0.000 0.000
Bi 0.500 0.500 0.500

---

Computed, not measured: a geometry-optimized Mg2Ga2Bi structure at the GGA-PBEsol level of DFT.

- ΔH_f (0 K) (meV/atom) = -91
- total magnetic moment (μB per formula unit) = 0.000
- symmetry = P4/mbm (127)

abc: 3.108 8.302 8.302
angles: 90.00 90.00 90.00
Fractional coordinates of all 10 atoms:
Bi 0.000 0.000 0.000
Bi 0.000 0.500 0.500
Mg 0.500 0.683 0.817
Mg 0.500 0.817 0.317
Mg 0.500 0.183 0.683
Mg 0.500 0.317 0.183
Ga 0.000 0.114 0.386
Ga 0.000 0.614 0.114
Ga 0.000 0.886 0.614
Ga 0.000 0.386 0.886

---

Computed, not measured: a geometry-optimized Mn2GaBiSe structure at the GGA-PBEsol level of DFT.

- total magnetic moment (μB per formula unit) = 7.272
- symmetry = P4/mmm (123)
- formation energy from raw total energies (eV/atom) = 0.69

abc: 4.562 4.562 5.746
angles: 90.00 90.00 90.00
Each line ends with the local moment (μB).
Fractional coordinates of all 5 atoms:
Ga 0.500 0.500 0.500  -0.02
Bi 0.000 0.000 0.500  -0.04
Se 0.000 0.000 0.000  -0.04
Mn 0.500 0.000 0.000  3.57
Mn 0.000 0.500 0.000  3.57

---

Computed, not measured: a geometry-optimized GaBiN3 structure at the GGA-PBEsol level of DFT.

- total magnetic moment (μB per formula unit) = 2.459
- symmetry = Pm-3m (221)
- formation energy from raw total energies (eV/atom) = 1.14

abc: 3.950 3.950 3.950
angles: 90.00 90.00 90.00
Each line ends with the local moment (μB).
Fractional coordinates of all 5 atoms:
N 0.000 0.000 0.500  0.62
N 0.000 0.500 0.000  0.62
N 0.500 0.000 0.000  0.62
Bi 0.500 0.500 0.500  -0.11
Ga 0.000 0.000 0.000  0.04

---

Computed, not measured: a geometry-optimized GaBiTeN2 structure at the GGA-PBEsol level of DFT.

- total magnetic moment (μB per formula unit) = 1.807
- symmetry = P4/mmm (123)
- formation energy from raw total energies (eV/atom) = 1.41

abc: 4.304 4.304 6.263
angles: 90.00 90.00 90.00
Each line ends with the local moment (μB).
Fractional coordinates of all 5 atoms:
N 0.500 0.000 0.000  0.63
N 0.000 0.500 0.000  0.63
Bi 0.000 0.000 0.000  -0.06
Ga 0.500 0.500 0.500  -0.01
Te 0.000 0.000 0.500  0.04

---

Computed, not measured: a geometry-optimized NaGa2Bi2 structure at the GGA-PBEsol level of DFT.

- ΔH_f (0 K) (meV/atom) = -51
- total magnetic moment (μB per formula unit) = 0.000
- symmetry = I4/mmm (139)

abc: 4.519 4.519 7.823
angles: 106.79 106.79 90.00
Fractional coordinates of all 5 atoms:
Na 0.000 0.000 0.000
Ga 0.250 0.750 0.500
Ga 0.750 0.250 0.500
Bi 0.376 0.376 0.752
Bi 0.624 0.624 0.248